1.
## PmCdSb (PBE)

Data for a geometry-optimized PmCdSb structure.

Properties
calculated density: 7502 kg/m3
raw total energy: -3.8183 eV per atom
volume: 27.98 Å³ per atom
offset from the most stable computed form: 41 meV per atom

Cell lengths 4.7060, 4.7060, 4.3761 Å; angles 90.00, 90.00, 120.00 degrees
Closest atoms and distances in Å follow each position.
Space group P3m1 (No. 156)
Asymmetric unit:
Pm (0.0000, 0.0000, 0.0000) [1 per cell]  3 Cd 3.12, 3 Sb 3.28
Cd (0.3333, 0.6667, 0.3494) [1 per cell]  3 Sb 2.90, 3 Pm 3.12
Sb (0.6667, 0.3333, 0.5805) [1 per cell]  3 Cd 2.90

2.
## Pm2Cd16Sb (PBE)

Data for a geometry-optimized Pm2Cd16Sb structure.

Properties
calculated density: 8199 kg/m3
raw total energy: -1.6259 eV per atom
volume: 23.56 Å³ per atom

Cell lengths 10.3004, 10.3004, 14.6160 Å; angles 90.00, 90.00, 120.00 degrees
Closest atoms and distances in Å follow each position.
Space group R3m (No. 160, hexagonal axes)
Asymmetric unit:
Pm (0.0000, 0.0000, 0.0000) [3 per cell]  1 Sb 3.23, 9 Cd 3.50-3.58
Pm (0.0000, 0.0000, 0.3357) [3 per cell]  16 Cd 3.48-3.72
Cd (0.0000, 0.0000, 0.5736) [3 per cell]  3 Cd 2.93, 1 Sb 3.01
Cd (0.0028, 0.3179, 0.6698) [18 per cell]  7 Cd 2.93-3.22
Cd (0.0278, 0.5139, 0.1662) [9 per cell]  9 Cd 2.93-3.12
Cd (0.0309, 0.5154, 0.8276) [9 per cell]  8 Cd 2.85-3.08
Cd (0.1677, 0.3354, 0.8486) [9 per cell]  8 Cd 2.85-3.12, 1 Sb 3.16
Sb (0.0000, 0.0000, 0.7793) [3 per cell]  7 Cd 3.01-3.32, 1 Pm 3.23

3.
## PmCd4Sb (PBE)

Data for a geometry-optimized PmCd4Sb structure.

Properties
calculated density: 7879 kg/m3
raw total energy: -2.2061 eV per atom
volume: 25.16 Å³ per atom

Cell lengths 8.4527, 8.4527, 8.4527 Å; angles 90.00, 90.00, 90.00 degrees
Closest atoms and distances in Å follow each position.
Space group F-43m (No. 216)
Asymmetric unit:
Pm (0.0000, 0.0000, 0.0000) [4 per cell]  12 Cd 3.50, 4 Sb 3.66
Cd (0.1250, 0.1250, 0.3750) [16 per cell]  6 Cd 2.99
Sb (0.2500, 0.2500, 0.7500) [4 per cell]  12 Cd 3.50, 4 Pm 3.66

4.
## Pm4Cd2Sb (PBE)

Data for a geometry-optimized Pm4Cd2Sb structure.

Properties
calculated density: 7107 kg/m3
raw total energy: -3.8783 eV per atom
volume: 30.93 Å³ per atom

Cell lengths 5.3190, 5.3190, 26.5075 Å; angles 90.00, 90.00, 120.00 degrees
Closest atoms and distances in Å follow each position.
Space group R-3m (No. 166, hexagonal axes)
Asymmetric unit:
Pm (0.0000, 0.0000, 0.1218) [6 per cell]  4 Cd 3.27-3.51, 3 Sb 3.29
Pm (0.0000, 0.0000, 0.3729) [6 per cell]  4 Cd 3.14-3.24, 1 Sb 3.37
Cd (0.0000, 0.0000, 0.2544) [6 per cell]  8 Pm 3.14-3.51
Sb (0.0000, 0.0000, 0.5000) [3 per cell]  8 Pm 3.29-3.37

5.
## Pm6CdSb2 (PBE)

Data for a geometry-optimized Pm6CdSb2 structure.

Properties
calculated density: 7397 kg/m3
raw total energy: -4.7582 eV per atom
volume: 30.58 Å³ per atom

Cell lengths 8.6709, 8.6709, 4.2268 Å; angles 90.00, 90.00, 120.00 degrees
Closest atoms and distances in Å follow each position.
Space group P-62m (No. 189)
Asymmetric unit:
Pm (0.0000, 0.2687, 0.0000) [3 per cell]  2 Cd 3.15, 2 Sb 3.21, 2 Pm 3.52
Pm (0.0000, 0.5931, 0.5000) [3 per cell]  4 Sb 3.37, 6 Pm 3.52-3.76, 1 Cd 3.53
Cd (0.0000, 0.0000, 0.5000) [1 per cell]  6 Pm 3.15
Sb (0.3333, 0.6667, 0.0000) [2 per cell]  9 Pm 3.21-3.37

6.
## PmCdSb (PBE)

Data for a geometry-optimized PmCdSb structure.

Properties
calculated density: 7187 kg/m3
raw total energy: -3.8597 eV per atom
volume: 29.20 Å³ per atom
offset from the most stable computed form: 0 meV per atom

Cell lengths 11.9280, 4.7448, 6.1921 Å; angles 90.00, 90.08, 90.00 degrees
Closest atoms and distances in Å follow each position.
Space group C2/m (No. 12)
Asymmetric unit:
Pm (0.1424, 0.0000, 0.2494) [4 per cell]  4 Sb 3.13-3.19, 2 Cd 3.20
Cd (0.0380, 0.5000, 0.7504) [4 per cell]  2 Sb 2.91, 2 Pm 3.20, 2 Cd 3.22-3.23
Sb (0.1791, 0.0000, 0.7493) [4 per cell]  2 Cd 2.91, 4 Pm 3.13-3.19

7.
## PmCdSb (PBE)

Data for a geometry-optimized PmCdSb structure.

Properties
calculated density: 6720 kg/m3
raw total energy: -3.4166 eV per atom
volume: 31.23 Å³ per atom
offset from the most stable computed form: 443 meV per atom

Cell lengths 3.3451, 3.3451, 16.7472 Å; angles 90.00, 90.00, 90.00 degrees
Closest atoms and distances in Å follow each position.
Space group I4mm (No. 107)
Asymmetric unit:
Pm (0.0000, 0.0000, 0.0000) [2 per cell]  1 Cd 3.14, 4 Sb 3.26, 4 Pm 3.35
Cd (0.0000, 0.0000, 0.8123) [2 per cell]  1 Sb 2.98, 1 Pm 3.14
Sb (0.0000, 0.0000, 0.6342) [2 per cell]  1 Cd 2.98, 4 Pm 3.26

8.
## PmCd2Sb (PBE)

Data for a geometry-optimized PmCd2Sb structure.

Properties
calculated density: 7899 kg/m3
raw total energy: -3.1813 eV per atom
volume: 25.84 Å³ per atom

Cell lengths 4.4925, 4.4925, 5.1204 Å; angles 90.00, 90.00, 90.00 degrees
Closest atoms and distances in Å follow each position.
Space group P4/mmm (No. 123)
Asymmetric unit:
Pm (0.0000, 0.0000, 0.0000) [1 per cell]  4 Sb 3.18, 8 Cd 3.41
Cd (0.0000, 0.5000, 0.5000) [2 per cell]  4 Cd 3.18, 4 Sb 3.41, 4 Pm 3.41
Sb (0.5000, 0.5000, 0.0000) [1 per cell]  4 Pm 3.18, 8 Cd 3.41